(1)
Na2OsIO6: optimized geometry, PBE.

Computed properties:
Its volume is 12.95 Å³/atom. For the total energy, the calculation gives -5.3473 eV per atom. The calculation puts the uncorrected formation energy at -0.83 eV per atom.

Lattice parameters (Å, degrees): 5.703 5.703 3.980 90.00 90.00 90.00
Space group P4mm (No. 99)
Asymmetric unit:
Na 0.000 0.500 0.000 [2 per cell]
Os 0.000 0.000 0.509 [1 per cell]
I 0.500 0.500 0.504 [1 per cell]
O 0.000 0.000 0.009 [1 per cell]
O 0.247 0.247 0.512 [4 per cell]
O 0.500 0.500 0.038 [1 per cell]

---

(2)
GeTe2S: optimized geometry, PBE.

Computed properties:
Its volume is 29.17 Å³/atom. For the total energy, the calculation gives -3.4322 eV per atom. The energy above the most stable polymorph in this dataset is 48 meV per atom. The calculation puts the uncorrected formation energy at 0.32 eV per atom.

Lattice parameters (Å, degrees): 7.316 7.316 8.720 90.00 90.00 90.00
Space group I-42d (No. 122)
Asymmetric unit:
Ge 0.000 0.000 0.000 [4 per cell]
Te 0.245 0.250 0.125 [8 per cell]
S 0.000 0.000 0.500 [4 per cell]

---

(3)
CsFeMoCl6: optimized geometry, PBE.

Computed properties:
Its volume is 31.84 Å³/atom. For the total energy, the calculation gives -4.5315 eV per atom. The calculation puts the uncorrected formation energy at -1.06 eV per atom.

Lattice parameters (Å, degrees): 6.472 11.217 7.894 90.00 90.01 90.00
Space group C2 (No. 5)
Asymmetric unit:
Cs 0.000 0.000 0.000 [2 per cell]
Fe 0.000 0.667 0.500 [2 per cell]
Mo 0.000 0.334 0.500 [2 per cell]
Cl 0.128 0.498 0.679 [4 per cell]
Cl 0.183 0.186 0.677 [4 per cell]
Cl 0.187 0.816 0.677 [4 per cell]

---

(4)
Li7Cd2: optimized geometry, PBE.

Computed properties:
Its volume is 19.77 Å³/atom. For the total energy, the calculation gives -1.6908 eV per atom. The energy above the most stable polymorph in this dataset is 154 meV per atom. Its formation energy is 0.0011 eV/atom.

Lattice parameters (Å, degrees): 5.3423 5.3423 43.1820 90.00 90.00 120.00
Space group R-3m (No. 166, hexagonal axes)
Asymmetric unit:
Li 0.0000 0.0000 0.0000 [3 per cell]
Li 0.0000 0.0000 0.1075 [6 per cell]
Li 0.0000 0.0000 0.2246 [6 per cell]
Li 0.0000 0.5000 0.5000 [9 per cell]
Li 0.0067 0.5034 0.3841 [18 per cell]
Cd 0.0000 0.0000 0.3457 [6 per cell]
Cd 0.0000 0.0000 0.4224 [6 per cell]

---

(5)
Tb3ScSb2C: optimized geometry, PBE.

Computed properties:
Its volume is 24.52 Å³/atom. For the total energy, the calculation gives -6.2262 eV per atom. The calculation puts the uncorrected formation energy at -0.84 eV per atom.

Lattice parameters (Å, degrees): 4.516 4.776 15.916 90.00 90.00 90.00
Space group Immm (No. 71)
Asymmetric unit:
Tb 0.000 0.000 0.000 [2 per cell]
Tb 0.000 0.500 0.159 [4 per cell]
Sc 0.000 0.000 0.500 [2 per cell]
Sb 0.000 0.500 0.359 [4 per cell]
C 0.000 0.500 0.000 [2 per cell]

---

(6)
MnCdIr2: optimized geometry, PBE.

Computed properties:
Its volume is 15.73 Å³/atom. For the total energy, the calculation gives -6.8307 eV per atom. Its formation energy is 0.1210 eV/atom.

Lattice parameters (Å, degrees): 2.894 4.760 9.135 90.00 90.00 90.00
Space group Cmmm (No. 65)
Asymmetric unit:
Mn 0.000 0.000 0.000 [2 per cell]
Cd 0.000 0.000 0.500 [2 per cell]
Ir 0.000 0.500 0.226 [4 per cell]

---

(7)
Mg4HIr: optimized geometry, PBE.

Computed properties:
Its volume is 17.63 Å³/atom. For the total energy, the calculation gives -3.2969 eV per atom. The energy above the most stable polymorph in this dataset is 77 meV per atom.

Lattice parameters (Å, degrees): 4.640 3.080 7.402 90.00 91.16 90.00
Space group Pm (No. 6)
Asymmetric unit:
Mg 0.000 0.000 0.000 [1 per cell]
Mg 0.020 0.500 0.463 [1 per cell]
Mg 0.515 0.000 0.274 [1 per cell]
Mg 0.535 0.000 0.688 [1 per cell]
H 0.246 0.500 0.813 [1 per cell]
Ir 0.497 0.500 0.980 [1 per cell]

---

(8)
Nd5HgRh2: optimized geometry, PBE.

Computed properties:
Its volume is 27.63 Å³/atom. For the total energy, the calculation gives -5.3815 eV per atom. The energy above the most stable polymorph in this dataset is 0 meV per atom. Its formation energy is -0.5261 eV/atom.

Lattice parameters (Å, degrees): 8.024 8.024 13.732 90.00 90.00 90.00
Space group I4/mcm (No. 140)
Asymmetric unit:
Nd 0.000 0.000 0.000 [4 per cell]
Nd 0.162 0.338 0.135 [16 per cell]
Hg 0.000 0.000 0.250 [4 per cell]
Rh 0.136 0.364 0.500 [8 per cell]

---

(9)
NaIn3Br: optimized geometry, PBE.

Computed properties:
Its volume is 37.59 Å³/atom. For the total energy, the calculation gives -2.0079 eV per atom. The energy above the most stable polymorph in this dataset is 113 meV per atom. The calculation puts the uncorrected formation energy at 0.23 eV per atom.

Lattice parameters (Å, degrees): 5.728 5.728 5.728 90.00 90.00 90.00
Space group Pm-3m (No. 221)
Asymmetric unit:
Na 0.000 0.000 0.000 [1 per cell]
In 0.000 0.000 0.500 [3 per cell]
Br 0.500 0.500 0.500 [1 per cell]

---

(10)
Pm3PrHo12: optimized geometry, PBE.

Computed properties:
Its volume is 31.87 Å³/atom. For the total energy, the calculation gives -4.6014 eV per atom. Its formation energy is 0.0214 eV/atom.

Lattice parameters (Å, degrees): 5.032 5.032 20.141 90.00 90.00 90.00
Space group P4/mmm (No. 123)
Asymmetric unit:
Pm 0.000 0.000 0.000 [1 per cell]
Pm 0.000 0.000 0.250 [2 per cell]
Pr 0.000 0.000 0.500 [1 per cell]
Ho 0.000 0.500 0.125 [4 per cell]
Ho 0.000 0.500 0.374 [4 per cell]
Ho 0.500 0.500 0.000 [1 per cell]
Ho 0.500 0.500 0.249 [2 per cell]
Ho 0.500 0.500 0.500 [1 per cell]

---

(11)
TaHPd: optimized geometry, PBE.

Computed properties:
Its volume is 11.91 Å³/atom. For the total energy, the calculation gives -7.0045 eV per atom. The energy above the most stable polymorph in this dataset is 1 meV per atom.

Lattice parameters (Å, degrees): 2.866 5.068 5.620 114.27 104.69 90.14
Space group P-1 (No. 2)
Asymmetric unit:
Ta 0.115 0.299 0.235 [2 per cell]
H 0.260 0.698 0.515 [2 per cell]
Pd 0.385 0.200 0.770 [2 per cell]

---

(12)
Pm2HoEr8: optimized geometry, PBE.

Computed properties:
Its volume is 31.93 Å³/atom. For the total energy, the calculation gives -4.4371 eV per atom. The energy above the most stable polymorph in this dataset is 139 meV per atom. Its formation energy is 0.1613 eV/atom.

Lattice parameters (Å, degrees): 8.994 15.952 5.848 90.00 123.15 90.00
Space group C2/m (No. 12)
Asymmetric unit:
Pm 0.000 0.193 0.000 [4 per cell]
Ho 0.000 0.500 0.500 [2 per cell]
Er 0.000 0.293 0.500 [4 per cell]
Er 0.070 0.000 0.296 [4 per cell]
Er 0.214 0.384 0.174 [8 per cell]

---

(13)
Hf7Ge5Sb: optimized geometry, PBE.

Computed properties:
Its volume is 19.85 Å³/atom. For the total energy, the calculation gives -7.7961 eV per atom. The calculation puts the uncorrected formation energy at -0.34 eV per atom.

Lattice parameters (Å, degrees): 5.493 9.970 9.424 90.00 90.00 90.00
Space group Imm2 (No. 44)
Asymmetric unit:
Hf 0.000 0.000 0.000 [2 per cell]
Hf 0.000 0.000 0.340 [2 per cell]
Hf 0.000 0.331 0.104 [4 per cell]
Hf 0.000 0.337 0.620 [4 per cell]
Hf 0.000 0.500 0.357 [2 per cell]
Ge 0.000 0.500 0.866 [2 per cell]
Ge 0.250 0.237 0.866 [8 per cell]
Sb 0.000 0.000 0.663 [2 per cell]

---

(14)
Pm3MgIn: optimized geometry, PBE.

Computed properties:
Its volume is 33.19 Å³/atom. For the total energy, the calculation gives -3.7492 eV per atom. The energy above the most stable polymorph in this dataset is 202 meV per atom. Its formation energy is -0.0323 eV/atom.

Lattice parameters (Å, degrees): 5.017 6.939 9.533 90.00 90.00 90.00
Space group Pmmn (No. 59, origin choice 2)
Asymmetric unit:
Pm 0.250 0.006 0.226 [4 per cell]
Pm 0.250 0.250 0.570 [2 per cell]
Mg 0.250 0.250 0.920 [2 per cell]
In 0.250 0.750 0.633 [2 per cell]

---

(15)
K2CaBe: optimized geometry, PBE.

Computed properties:
Its volume is 47.73 Å³/atom. For the total energy, the calculation gives -1.4642 eV per atom. Its formation energy is 0.5164 eV/atom.

Lattice parameters (Å, degrees): 10.175 4.033 9.687 90.00 106.13 90.00
Space group Cm (No. 8)
Asymmetric unit:
K 0.000 0.000 0.000 [2 per cell]
K 0.160 0.000 0.604 [2 per cell]
Ca 0.349 0.000 0.302 [2 per cell]
Be 0.138 0.500 0.302 [2 per cell]

---

(16)
U2MnAl2Si4: optimized geometry, PBE.

Computed properties:
Its volume is 16.05 Å³/atom. For the total energy, the calculation gives -7.0915 eV per atom. The calculation puts the uncorrected formation energy at -0.32 eV per atom.

Lattice parameters (Å, degrees): 5.926 5.926 8.226 90.00 90.00 90.00
Space group I4/mmm (No. 139)
Asymmetric unit:
U 0.000 0.500 0.250 [4 per cell]
Mn 0.000 0.000 0.000 [2 per cell]
Al 0.000 0.000 0.283 [4 per cell]
Si 0.227 0.227 0.500 [8 per cell]

---

(17)
Tm2AgHg8: optimized geometry, PBE.

Computed properties:
Its volume is 24.12 Å³/atom. For the total energy, the calculation gives -1.4937 eV per atom. Its formation energy is -0.2020 eV/atom.

Lattice parameters (Å, degrees): 4.819 4.819 11.422 90.00 90.00 90.00
Space group P4/mmm (No. 123)
Asymmetric unit:
Tm 0.000 0.000 0.186 [2 per cell]
Ag 0.000 0.000 0.500 [1 per cell]
Hg 0.000 0.500 0.000 [2 per cell]
Hg 0.000 0.500 0.360 [4 per cell]
Hg 0.500 0.500 0.178 [2 per cell]

---

(18)
MnCr2Ir: optimized geometry, PBE.

Computed properties:
Its volume is 12.52 Å³/atom. For the total energy, the calculation gives -9.3696 eV per atom. Its formation energy is -0.0503 eV/atom.

Lattice parameters (Å, degrees): 3.686 3.686 3.687 90.00 90.00 90.00
Space group P4/mmm (No. 123)
Asymmetric unit:
Mn 0.000 0.000 0.000 [1 per cell]
Cr 0.000 0.500 0.500 [2 per cell]
Ir 0.500 0.500 0.000 [1 per cell]

---

(19)
Pa4As2H: optimized geometry, PBE.

Computed properties:
Its volume is 20.66 Å³/atom. For the total energy, the calculation gives -7.7560 eV per atom.

Lattice parameters (Å, degrees): 4.333 4.333 15.405 90.00 90.00 90.00
Space group I4/mmm (No. 139)
Asymmetric unit:
Pa 0.000 0.000 0.166 [4 per cell]
Pa 0.000 0.500 0.000 [4 per cell]
As 0.000 0.000 0.358 [4 per cell]
H 0.000 0.000 0.000 [2 per cell]

---

(20)
BaMg6W: optimized geometry, PBE.

Computed properties:
Its volume is 24.53 Å³/atom. For the total energy, the calculation gives -2.6995 eV per atom. The energy above the most stable polymorph in this dataset is 0 meV per atom. Its formation energy is 0.3559 eV/atom.

Lattice parameters (Å, degrees): 6.764 6.764 4.290 90.00 90.00 90.00
Space group P4/mmm (No. 123)
Asymmetric unit:
Ba 0.000 0.000 0.000 [1 per cell]
Mg 0.000 0.500 0.000 [2 per cell]
Mg 0.290 0.290 0.500 [4 per cell]
W 0.500 0.500 0.000 [1 per cell]